Below is a relaxed structure of DyCdAu, with properties calculated at the PBE-GGA level.

Unit cell a=7.7937 b=7.7937 c=3.9105 alpha=90.00 beta=90.00 gamma=120.00
Closest atoms and distances in Å follow each position.
Space group P-62m (No. 189)
One atom of each set of equivalent atoms:
Dy 0.0000 0.4020 0.0000 [3 per cell]  5 Au 3.08-3.13, 6 Cd 3.26-3.38
Cd 0.0000 0.7361 0.5000 [3 per cell]  4 Au 2.84-2.91
Au 0.0000 0.0000 0.0000 [1 per cell]  6 Cd 2.84, 3 Dy 3.13
Au 0.3333 0.6667 0.5000 [2 per cell]  3 Cd 2.91, 6 Dy 3.08

Properties
Its total energy is -32.29 eV/cell. Its formation energy is -0.67 eV per atom.

---

Below is a relaxed structure of DyEr2Cd3Au3, with properties calculated at the PBE-GGA level.

Unit cell a=3.8907 b=13.4694 c=7.7574 alpha=90.00 beta=90.00 gamma=90.00
Closest atoms and distances in Å follow each position.
Space group Amm2 (No. 38)
One atom of each set of equivalent atoms:
Dy 0.0000 0.0000 0.0000 [2 per cell]  5 Au 3.07-3.13, 6 Cd 3.24-3.37
Er 0.0000 0.2014 0.6043 [4 per cell]  5 Au 3.06-3.13, 6 Cd 3.25-3.37
Cd 0.5000 0.0000 0.6657 [2 per cell]  4 Au 2.81-2.91
Cd 0.5000 0.1315 0.2717 [4 per cell]  4 Au 2.82-2.91
Au 0.0000 0.0000 0.4035 [2 per cell]  6 Cd 2.81-2.82, 2 Er 3.13, 1 Dy 3.13
Au 0.5000 0.1675 0.9024 [4 per cell]  3 Cd 2.89-2.91, 4 Er 3.06, 2 Dy 3.07

Properties
Its total energy is -64.34 eV/cell. Its formation energy is -0.66 eV per atom.

---

Below is a relaxed structure of DyErCd2Au4, with properties calculated at the PBE-GGA level.

Unit cell a=4.9170 b=4.9170 c=6.9555 alpha=90.00 beta=90.00 gamma=90.00
Closest atoms and distances in Å follow each position.
Space group P4/mmm (No. 123)
One atom of each set of equivalent atoms:
Dy 0.0000 0.0000 0.0000 [1 per cell]  8 Au 3.02
Er 0.5000 0.5000 0.5000 [1 per cell]  8 Au 3.00
Cd 0.0000 0.0000 0.5000 [1 per cell]  8 Au 3.00
Cd 0.5000 0.5000 0.0000 [1 per cell]  8 Au 3.02
Au 0.0000 0.5000 0.2525 [4 per cell]  2 Er 3.00, 4 Cd 3.00-3.02, 2 Dy 3.02

Properties
Its total energy is -29.46 eV/cell. Its formation energy is -0.68 eV per atom.

---

Below is a relaxed structure of DyEr2Cd3NiAu2, with properties calculated at the PBE-GGA level.

Unit cell a=3.8921 b=13.1447 c=7.5748 alpha=90.00 beta=90.00 gamma=90.00
Closest atoms and distances in Å follow each position.
Space group Amm2 (No. 38)
One atom of each set of equivalent atoms:
Dy 0.0000 0.0000 0.0000 [2 per cell]  4 Au 3.04, 1 Ni 3.05, 6 Cd 3.29-3.33
Er 0.0000 0.1998 0.6013 [4 per cell]  4 Au 3.02, 1 Ni 3.03, 6 Cd 3.28-3.34
Cd 0.5000 0.0000 0.6436 [2 per cell]  2 Ni 2.67, 2 Au 2.94
Cd 0.5000 0.1209 0.2803 [4 per cell]  2 Ni 2.68, 2 Au 2.92-2.94
Ni 0.0000 0.0000 0.4026 [2 per cell]  6 Cd 2.67-2.68
Au 0.5000 0.1679 0.9006 [4 per cell]  3 Cd 2.92-2.94, 4 Er 3.02, 2 Dy 3.04

Properties
Its total energy is -67.48 eV/cell. Its formation energy is -0.58 eV per atom.

---

Below is a relaxed structure of Dy2ErCd3NiAu2, with properties calculated at the PBE-GGA level.

Unit cell a=3.9053 b=13.1336 c=7.5979 alpha=90.00 beta=90.00 gamma=90.00
Closest atoms and distances in Å follow each position.
Space group Amm2 (No. 38)
One atom of each set of equivalent atoms:
Dy 0.0000 0.2004 0.0000 [4 per cell]  4 Au 3.04, 1 Ni 3.05, 6 Cd 3.29-3.34
Er 0.0000 0.0000 0.5997 [2 per cell]  4 Au 3.02, 1 Ni 3.02, 6 Cd 3.29-3.36
Cd 0.5000 0.0000 0.9590 [2 per cell]  2 Ni 2.69, 2 Au 2.93
Cd 0.5000 0.1209 0.3211 [4 per cell]  2 Ni 2.68, 2 Au 2.94-2.95
Ni 0.0000 0.0000 0.2016 [2 per cell]  6 Cd 2.68-2.69
Au 0.5000 0.1655 0.6996 [4 per cell]  3 Cd 2.93-2.95, 2 Er 3.02, 4 Dy 3.04

Properties
Its total energy is -67.57 eV/cell. Its formation energy is -0.58 eV per atom.

---

Below is a relaxed structure of DyEr2Cd3Pt2Au, with properties calculated at the PBE-GGA level.

Unit cell a=3.8784 b=13.2457 c=7.6306 alpha=90.00 beta=90.00 gamma=90.00
Closest atoms and distances in Å follow each position.
Space group Amm2 (No. 38)
One atom of each set of equivalent atoms:
Dy 0.0000 0.0000 0.0000 [2 per cell]  4 Pt 3.03, 1 Au 3.12, 6 Cd 3.16-3.35
Er 0.0000 0.2042 0.6131 [4 per cell]  4 Pt 3.01-3.02, 1 Au 3.12, 6 Cd 3.17-3.36
Cd 0.5000 0.0000 0.6723 [2 per cell]  2 Au 2.79, 2 Pt 2.86
Cd 0.5000 0.1315 0.2768 [4 per cell]  2 Au 2.80, 2 Pt 2.84-2.86
Pt 0.5000 0.1676 0.9078 [4 per cell]  3 Cd 2.84-2.86, 4 Er 3.01-3.02, 2 Dy 3.03
Au 0.0000 0.0000 0.4092 [2 per cell]  6 Cd 2.79-2.80, 2 Er 3.12, 1 Dy 3.12

Properties
Its total energy is -78.31 eV/cell. Its formation energy is -0.82 eV per atom.

---

Below is a relaxed structure of Dy3Cd3InGaAu, with properties calculated at the PBE-GGA level.

Unit cell a=7.5329 b=7.5329 c=4.2946 alpha=90.00 beta=90.00 gamma=120.00
Closest atoms and distances in Å follow each position.
Space group P-6 (No. 174)
One atom of each set of equivalent atoms:
Dy 0.0036 0.4273 0.0000 [3 per cell]  2 Au 3.09, 2 Ga 3.12, 1 In 3.20, 2 Cd 3.21
Cd 0.2618 0.2547 0.5000 [3 per cell]  1 Ga 2.80, 1 Au 2.87, 2 In 2.90
In 0.0000 0.0000 0.0000 [1 per cell]  6 Cd 2.90, 3 Dy 3.20
Ga 0.6667 0.3333 0.5000 [1 per cell]  3 Cd 2.80, 6 Dy 3.12
Au 0.3333 0.6667 0.5000 [1 per cell]  3 Cd 2.87, 6 Dy 3.09

Properties
Its total energy is -30.10 eV/cell.

---

Below is a relaxed structure of GdDy2Cd3Au3, with properties calculated at the PBE-GGA level.

Unit cell a=3.9225 b=13.5237 c=7.7868 alpha=90.00 beta=90.00 gamma=90.00
Closest atoms and distances in Å follow each position.
Space group Amm2 (No. 38)
One atom of each set of equivalent atoms:
Gd 0.0000 0.0000 0.0000 [2 per cell]  5 Au 3.09-3.15, 6 Cd 3.26-3.39
Dy 0.0000 0.2019 0.3946 [4 per cell]  5 Au 3.07-3.15, 6 Cd 3.26-3.39
Cd 0.5000 0.0000 0.3347 [2 per cell]  4 Au 2.82-2.93
Cd 0.5000 0.1315 0.7273 [4 per cell]  4 Au 2.84-2.92
Au 0.0000 0.0000 0.5958 [2 per cell]  6 Cd 2.82-2.84, 2 Dy 3.15, 1 Gd 3.15
Au 0.5000 0.1677 0.0971 [4 per cell]  3 Cd 2.90-2.93, 4 Dy 3.07, 2 Gd 3.09

Properties
Its total energy is -64.70 eV/cell. Its formation energy is -0.67 eV per atom.